Entry from Alexandria: crystalline Ac12In5Sb3 at its relaxed geometry (PBE).

Output
* space group: Ia-3d
* formation energy without anion corrections: -0.12 eV/atom

a = 16.8160 Å, b = 16.8160 Å, c = 16.8160 Å
α = 109.47°, β = 109.47°, γ = 109.47°
With the nearest neighbours (Å) after each atom.
Sites, in units of the cell vectors:
Ac 0.0553 0.2220 0.1358  2 In 3.18-3.26, 1 Sb 3.53
Ac 0.0553 0.3333 0.9195  2 In 3.18-3.26, 1 Sb 3.53
Ac 0.0805 0.6358 0.4138  2 In 3.18-3.26, 1 Sb 3.53
Ac 0.0805 0.9447 0.6667  2 In 3.18-3.26, 1 Sb 3.53
Ac 0.0862 0.7220 0.6667  2 In 3.18-3.26, 1 Sb 3.53
Ac 0.0862 0.8642 0.4195  2 In 3.18-3.26, 1 Sb 3.53
Ac 0.1358 0.0553 0.2220  2 In 3.18-3.26, 1 Sb 3.53
Ac 0.1358 0.5805 0.9138  2 In 3.18-3.26, 1 Sb 3.53
Ac 0.1667 0.2220 0.5862  2 In 3.18-3.26, 1 Sb 3.53
Ac 0.1667 0.4447 0.5805  2 In 3.18-3.26, 1 Sb 3.53
Ac 0.2220 0.1358 0.0553  2 In 3.18-3.26, 1 Sb 3.53
Ac 0.2220 0.5862 0.1667  2 In 3.18-3.26, 1 Sb 3.53
Ac 0.2780 0.3333 0.9138  2 In 3.18-3.26, 1 Sb 3.53
Ac 0.2780 0.4447 0.3642  2 In 3.18-3.26, 1 Sb 3.53
Ac 0.3333 0.9138 0.2780  2 In 3.18-3.26, 1 Sb 3.53
Ac 0.3333 0.9195 0.0553  2 In 3.18-3.26, 1 Sb 3.53
Ac 0.3642 0.2780 0.4447  2 In 3.18-3.26, 1 Sb 3.53
Ac 0.3642 0.5862 0.9195  2 In 3.18-3.26, 1 Sb 3.53
Ac 0.4138 0.0805 0.6358  2 In 3.18-3.26, 1 Sb 3.53
Ac 0.4138 0.8333 0.7780  2 In 3.18-3.26, 1 Sb 3.53
Ac 0.4195 0.0862 0.8642  2 In 3.18-3.26, 1 Sb 3.53
Ac 0.4195 0.8333 0.5553  2 In 3.18-3.26, 1 Sb 3.53
Ac 0.4447 0.3642 0.2780  2 In 3.18-3.26, 1 Sb 3.53
Ac 0.4447 0.5805 0.1667  2 In 3.18-3.26, 1 Sb 3.53
Ac 0.5553 0.4195 0.8333  2 In 3.18-3.26, 1 Sb 3.53
Ac 0.5553 0.6358 0.7220  2 In 3.18-3.26, 1 Sb 3.53
Ac 0.5805 0.1667 0.4447  2 In 3.18-3.26, 1 Sb 3.53
Ac 0.5805 0.9138 0.1358  2 In 3.18-3.26, 1 Sb 3.53
Ac 0.5862 0.1667 0.2220  2 In 3.18-3.26, 1 Sb 3.53
Ac 0.5862 0.9195 0.3642  2 In 3.18-3.26, 1 Sb 3.53
Ac 0.6358 0.4138 0.0805  2 In 3.18-3.26, 1 Sb 3.53
Ac 0.6358 0.7220 0.5553  2 In 3.18-3.26, 1 Sb 3.53
Ac 0.6667 0.0805 0.9447  2 In 3.18-3.26, 1 Sb 3.53
Ac 0.6667 0.0862 0.7220  2 In 3.18-3.26, 1 Sb 3.53
Ac 0.7220 0.5553 0.6358  2 In 3.18-3.26, 1 Sb 3.53
Ac 0.7220 0.6667 0.0862  2 In 3.18-3.26, 1 Sb 3.53
Ac 0.7780 0.4138 0.8333  2 In 3.18-3.26, 1 Sb 3.53
Ac 0.7780 0.8642 0.9447  2 In 3.18-3.26, 1 Sb 3.53
Ac 0.8333 0.5553 0.4195  2 In 3.18-3.26, 1 Sb 3.53
Ac 0.8333 0.7780 0.4138  2 In 3.18-3.26, 1 Sb 3.53
Ac 0.8642 0.4195 0.0862  2 In 3.18-3.26, 1 Sb 3.53
Ac 0.8642 0.9447 0.7780  2 In 3.18-3.26, 1 Sb 3.53
Ac 0.9138 0.1358 0.5805  2 In 3.18-3.26, 1 Sb 3.53
Ac 0.9138 0.2780 0.3333  2 In 3.18-3.26, 1 Sb 3.53
Ac 0.9195 0.0553 0.3333  2 In 3.18-3.26, 1 Sb 3.53
Ac 0.9195 0.3642 0.5862  2 In 3.18-3.26, 1 Sb 3.53
Ac 0.9447 0.6667 0.0805  2 In 3.18-3.26, 1 Sb 3.53
Ac 0.9447 0.7780 0.8642  2 In 3.18-3.26, 1 Sb 3.53
In 0.0000 0.0000 0.0000  6 Ac 3.26
In 0.0000 0.0000 0.5000  6 Ac 3.26
In 0.0000 0.5000 0.0000  6 Ac 3.26
In 0.0000 0.5000 0.5000  6 Ac 3.26
In 0.1250 0.7500 0.8750  4 Ac 3.18
In 0.1250 0.8750 0.2500  4 Ac 3.18
In 0.2500 0.1250 0.8750  4 Ac 3.18
In 0.2500 0.6250 0.3750  4 Ac 3.18
In 0.3750 0.2500 0.6250  4 Ac 3.18
In 0.3750 0.6250 0.7500  4 Ac 3.18
In 0.5000 0.0000 0.0000  6 Ac 3.26
In 0.5000 0.0000 0.5000  6 Ac 3.26
In 0.5000 0.5000 0.0000  6 Ac 3.26
In 0.5000 0.5000 0.5000  6 Ac 3.26
In 0.6250 0.3750 0.2500  4 Ac 3.18
In 0.6250 0.7500 0.3750  4 Ac 3.18
In 0.7500 0.3750 0.6250  4 Ac 3.18
In 0.7500 0.8750 0.1250  4 Ac 3.18
In 0.8750 0.1250 0.7500  4 Ac 3.18
In 0.8750 0.2500 0.1250  4 Ac 3.18
Sb 0.1250 0.2500 0.3750  8 Ac 3.53-3.61
Sb 0.1250 0.3750 0.7500  8 Ac 3.53-3.61
Sb 0.2500 0.3750 0.1250  8 Ac 3.53-3.61
Sb 0.2500 0.8750 0.6250  8 Ac 3.53-3.61
Sb 0.3750 0.1250 0.2500  8 Ac 3.53-3.61
Sb 0.3750 0.7500 0.1250  8 Ac 3.53-3.61
Sb 0.6250 0.2500 0.8750  8 Ac 3.53-3.61
Sb 0.6250 0.8750 0.7500  8 Ac 3.53-3.61
Sb 0.7500 0.1250 0.3750  8 Ac 3.53-3.61
Sb 0.7500 0.6250 0.8750  8 Ac 3.53-3.61
Sb 0.8750 0.6250 0.2500  8 Ac 3.53-3.61
Sb 0.8750 0.7500 0.6250  8 Ac 3.53-3.61